VASP calculation (PBE) on a relaxed structure of LaY7Ho12.

a b c (Å): 12.0230 12.0230 15.8287
angles (deg): 90.00 90.00 120.00
Space group R-3 (No. 148, hexagonal axes)
Unique sites:
La  0.0000  0.0000  0.0000 (multiplicity 3)
Y  0.0000  0.0000  0.5000 (multiplicity 3)
Y  0.0471  0.4605  0.5845 (multiplicity 18)
Ho  0.0220  0.5719  0.2165 (multiplicity 18)
Ho  0.0513  0.8618  0.2954 (multiplicity 18)

Output
Fermi-level density of states	1.8243	states/eV per atom
DFT formation energy	0.247	eV/atom
final energy	-5.0081	eV/atom



VASP calculation (PBE) on a relaxed structure of SrAcHgPd.

a b c (Å): 7.7905 7.7905 7.7905
angles (deg): 90.00 90.00 90.00
Space group F-43m (No. 216)
Unique sites:
Sr  0.0000  0.0000  0.0000 (multiplicity 4)
Ac  0.0000  0.0000  0.5000 (multiplicity 4)
Hg  0.2500  0.2500  0.7500 (multiplicity 4)
Pd  0.2500  0.2500  0.2500 (multiplicity 4)

Output
Fermi-level density of states	0.8228	states/eV per atom
DFT formation energy	-0.539	eV/atom
final energy	-3.3603	eV/atom
energy above the lowest structure with this stoichiometry	72	meV per atom



VASP calculation (PBE) on a relaxed structure of ThZn4Ag.

a b c (Å): 8.4177 16.4816 3.2928
angles (deg): 90.00 90.00 90.00
Space group Pbam (No. 55)
Unique sites:
Th  0.1232  0.1537  0.0000 (multiplicity 4)
Zn  0.0269  0.6951  0.5000 (multiplicity 4)
Zn  0.1252  0.9628  0.5000 (multiplicity 4)
Zn  0.1264  0.5500  0.5000 (multiplicity 4)
Zn  0.2149  0.8091  0.5000 (multiplicity 4)
Ag  0.1291  0.4145  0.0000 (multiplicity 4)

Output
Fermi-level density of states	0.6076	states/eV per atom
DFT formation energy	-0.129	eV/atom
final energy	-2.6897	eV/atom
energy above the lowest structure with this stoichiometry	15	meV per atom



VASP calculation (PBE) on a relaxed structure of Ac3Tc2O9.

a b c (Å): 9.9404 9.9404 13.2136
angles (deg): 90.00 90.00 120.00
Space group R-3c (No. 167, hexagonal axes)
Unique sites:
Ac  0.0000  0.3410  0.2500 (multiplicity 18)
Tc  0.0000  0.0000  0.1570 (multiplicity 12)
O  0.0000  0.1739  0.7500 (multiplicity 18)
O  0.0022  0.1723  0.0886 (multiplicity 36)

Output
Fermi-level density of states	0.4098	states/eV per atom
final energy	-8.0150	eV/atom



VASP calculation (PBE) on a relaxed structure of RbCuAgS2.

a b c (Å): 5.8515 12.4655 6.9159
angles (deg): 90.00 90.00 90.00
Space group Cmme (No. 67)
Unique sites:
Rb  0.0000  0.2500  0.2210 (multiplicity 4)
Cu  0.2500  0.0000  0.0000 (multiplicity 4)
Ag  0.0000  0.0000  0.5000 (multiplicity 4)
S  0.0000  0.0935  0.8022 (multiplicity 8)

Output
Fermi-level density of states	0.7594	states/eV per atom
final energy	-3.6811	eV/atom



VASP calculation (PBE) on a relaxed structure of AgB.

a b c (Å): 8.4956 8.4956 3.1040
angles (deg): 90.00 90.00 120.00
Space group P6_3/mmc (No. 194)
Unique sites:
Ag  0.2126  0.4253  0.2500 (multiplicity 6)
B  0.0256  0.5128  0.7500 (multiplicity 6)

Output
Fermi-level density of states	0.1527	states/eV per atom
DFT formation energy	0.461	eV/atom
final energy	-4.3034	eV/atom
energy above the lowest structure with this stoichiometry	84	meV per atom



VASP calculation (PBE) on a relaxed structure of Be4ZnRu.

a b c (Å): 6.1439 6.1439 6.1439
angles (deg): 90.00 90.00 90.00
Space group F-43m (No. 216)
Unique sites:
Be  0.1237  0.1237  0.1237 (multiplicity 16)
Zn  0.0000  0.0000  0.5000 (multiplicity 4)
Ru  0.2500  0.2500  0.7500 (multiplicity 4)

Output
Fermi-level density of states	0.6794	states/eV per atom
DFT formation energy	-0.200	eV/atom
final energy	-4.4423	eV/atom



VASP calculation (PBE) on a relaxed structure of Li3TaN.

a b c (Å): 3.9238 3.9238 3.9238
angles (deg): 90.00 90.00 90.00
Space group Pm-3m (No. 221)
Unique sites:
Li  0.0000  0.0000  0.5000 (multiplicity 3)
Ta  0.5000  0.5000  0.5000 (multiplicity 1)
N  0.0000  0.0000  0.0000 (multiplicity 1)

Output
Fermi-level density of states	0.6498	states/eV per atom
final energy	-4.4465	eV/atom
energy above the lowest structure with this stoichiometry	0	meV per atom



VASP calculation (PBE) on a relaxed structure of Ce2TlSn.

a b c (Å): 4.9616 4.9616 4.5773
angles (deg): 90.00 90.00 90.00
Space group P4/mmm (No. 123)
Unique sites:
Ce  0.0000  0.5000  0.0000 (multiplicity 2)
Tl  0.0000  0.0000  0.5000 (multiplicity 1)
Sn  0.5000  0.5000  0.5000 (multiplicity 1)

Output
Fermi-level density of states	3.1015	states/eV per atom
DFT formation energy	-0.425	eV/atom
final energy	-4.9845	eV/atom



VASP calculation (PBE) on a relaxed structure of Na2PH.

a b c (Å): 6.4695 6.4695 7.5126
angles (deg): 90.00 90.00 90.00
Space group I-42d (No. 122)
Unique sites:
Na  0.1553  0.2500  0.1250 (multiplicity 8)
P  0.0000  0.0000  0.5000 (multiplicity 4)
H  0.0000  0.0000  0.0000 (multiplicity 4)

Output
Fermi-level density of states	0.6527	states/eV per atom
final energy	-2.6146	eV/atom
energy above the lowest structure with this stoichiometry	464	meV per atom



VASP calculation (PBE) on a relaxed structure of NaLiGdGa.

a b c (Å): 7.1751 7.1751 7.1751
angles (deg): 90.00 90.00 90.00
Space group F-43m (No. 216)
Unique sites:
Na  0.0000  0.0000  0.0000 (multiplicity 4)
Li  0.2500  0.2500  0.2500 (multiplicity 4)
Gd  0.0000  0.0000  0.5000 (multiplicity 4)
Ga  0.2500  0.2500  0.7500 (multiplicity 4)

Output
Fermi-level density of states	0.5813	states/eV per atom
DFT formation energy	-0.102	eV/atom
final energy	-5.1875	eV/atom



VASP calculation (PBE) on a relaxed structure of DyHo3Co2.

a b c (Å): 6.5163 13.1299 6.8676
angles (deg): 90.00 90.00 90.00
Space group Ibam (No. 72)
Unique sites:
Dy  0.0000  0.0000  0.0000 (multiplicity 4)
Ho  0.0000  0.2360  0.2500 (multiplicity 8)
Ho  0.0000  0.5000  0.2500 (multiplicity 4)
Co  0.2209  0.3644  0.0000 (multiplicity 8)

Output
Fermi-level density of states	0.8810	states/eV per atom
DFT formation energy	-0.077	eV/atom
final energy	-5.5015	eV/atom
energy above the lowest structure with this stoichiometry	89	meV per atom



VASP calculation (PBE) on a relaxed structure of HoSc2TlO.

a b c (Å): 4.5111 4.5111 4.7029
angles (deg): 90.00 90.00 90.00
Space group P4/mmm (No. 123)
Unique sites:
Ho  0.0000  0.0000  0.0000 (multiplicity 1)
Sc  0.0000  0.5000  0.5000 (multiplicity 2)
Tl  0.5000  0.5000  0.0000 (multiplicity 1)
O  0.0000  0.0000  0.5000 (multiplicity 1)

Output
Fermi-level density of states	0.5103	states/eV per atom
final energy	-6.2818	eV/atom



VASP calculation (PBE) on a relaxed structure of Ag2WI.

a b c (Å): 8.0473 8.0473 5.6388
angles (deg): 90.00 90.00 90.00
Space group I-42d (No. 122)
Unique sites:
Ag  0.2321  0.2500  0.1250 (multiplicity 8)
W  0.0000  0.0000  0.0000 (multiplicity 4)
I  0.0000  0.0000  0.5000 (multiplicity 4)

Output
Fermi-level density of states	0.6992	states/eV per atom
final energy	-3.8027	eV/atom
energy above the lowest structure with this stoichiometry	0	meV per atom



VASP calculation (PBE) on a relaxed structure of Zn4CrCu.

a b c (Å): 7.0581 7.0581 7.0581
angles (deg): 90.00 90.00 90.00
Space group F-43m (No. 216)
Unique sites:
Zn  0.1252  0.1252  0.1252 (multiplicity 16)
Cr  0.2500  0.2500  0.7500 (multiplicity 4)
Cu  0.0000  0.0000  0.5000 (multiplicity 4)

Output
Fermi-level density of states	0.4296	states/eV per atom
DFT formation energy	0.145	eV/atom
final energy	-2.9904	eV/atom



VASP calculation (PBE) on a relaxed structure of K2RbAl2.

a b c (Å): 5.7305 5.7305 14.2250
angles (deg): 90.00 90.00 90.00
Space group I4/mmm (No. 139)
Unique sites:
K  0.0000  0.5000  0.2500 (multiplicity 4)
Rb  0.0000  0.0000  0.0000 (multiplicity 2)
Al  0.0000  0.0000  0.4118 (multiplicity 4)

Output
Fermi-level density of states	1.2058	states/eV per atom
DFT formation energy	0.344	eV/atom
final energy	-1.7856	eV/atom
energy above the lowest structure with this stoichiometry	9	meV per atom



VASP calculation (PBE) on a relaxed structure of SmTcSn2.

a b c (Å): 4.5745 4.5745 15.4211
angles (deg): 90.00 90.00 120.00
Space group R-3m (No. 166, hexagonal axes)
Unique sites:
Sm  0.0000  0.0000  0.0000 (multiplicity 3)
Tc  0.0000  0.0000  0.5000 (multiplicity 3)
Sn  0.0000  0.0000  0.2244 (multiplicity 6)

Output
Fermi-level density of states	0.6717	states/eV per atom
DFT formation energy	-0.245	eV/atom
final energy	-6.0181	eV/atom



VASP calculation (PBE) on a relaxed structure of La2GdCo.

a b c (Å): 3.5758 3.5758 8.9648
angles (deg): 90.00 90.00 90.00
Space group P4/mmm (No. 123)
Unique sites:
La  0.0000  0.0000  0.1914 (multiplicity 2)
Gd  0.5000  0.5000  0.5000 (multiplicity 1)
Co  0.5000  0.5000  0.0000 (multiplicity 1)

Output
Fermi-level density of states	1.3920	states/eV per atom
DFT formation energy	0.034	eV/atom
final energy	-7.7263	eV/atom
energy above the lowest structure with this stoichiometry	0	meV per atom



VASP calculation (PBE) on a relaxed structure of SrPrTl6.

a b c (Å): 4.9054 4.9054 9.8932
angles (deg): 90.00 90.00 90.00
Space group P4/mmm (No. 123)
Unique sites:
Sr  0.0000  0.0000  0.0000 (multiplicity 1)
Pr  0.0000  0.0000  0.5000 (multiplicity 1)
Tl  0.0000  0.5000  0.2551 (multiplicity 4)
Tl  0.5000  0.5000  0.0000 (multiplicity 1)
Tl  0.5000  0.5000  0.5000 (multiplicity 1)

Output
Fermi-level density of states	0.5292	states/eV per atom
DFT formation energy	-0.285	eV/atom
final energy	-2.8670	eV/atom



VASP calculation (PBE) on a relaxed structure of La3PmPr2S6.

a b c (Å): 7.1335 12.3753 7.1230
angles (deg): 90.00 109.58 90.00
Space group C2/m (No. 12)
Unique sites:
La  0.0000  0.0000  0.0000 (multiplicity 2)
La  0.0000  0.3321  0.0000 (multiplicity 4)
Pm  0.0000  0.5000  0.5000 (multiplicity 2)
Pr  0.0000  0.1666  0.5000 (multiplicity 4)
S  0.2466  0.3351  0.7456 (multiplicity 8)
S  0.2474  0.5000  0.2530 (multiplicity 4)

Output
Fermi-level density of states	0.4717	states/eV per atom
final energy	-6.5930	eV/atom



VASP calculation (PBE) on a relaxed structure of Cs12NaAu5.

a b c (Å): 12.7410 13.2301 13.6181
angles (deg): 90.00 90.00 90.00
Space group Immm (No. 71)
Unique sites:
Cs  0.0000  0.1904  0.1939 (multiplicity 8)
Cs  0.1801  0.5000  0.1753 (multiplicity 8)
Cs  0.1921  0.3244  0.5000 (multiplicity 8)
Na  0.0000  0.0000  0.5000 (multiplicity 2)
Au  0.0000  0.0000  0.0000 (multiplicity 2)
Au  0.0000  0.3872  0.0000 (multiplicity 4)
Au  0.0000  0.5000  0.3927 (multiplicity 4)

Output
Fermi-level density of states	0.5584	states/eV per atom
DFT formation energy	-0.186	eV/atom
final energy	-1.7388	eV/atom



VASP calculation (PBE) on a relaxed structure of CePm8Er2.

a b c (Å): 5.6678 8.2007 15.9516
angles (deg): 90.00 90.00 90.00
Space group Immm (No. 71)
Unique sites:
Ce  0.0000  0.0000  0.0000 (multiplicity 2)
Pm  0.0000  0.2108  0.5000 (multiplicity 4)
Pm  0.0000  0.2923  0.1358 (multiplicity 8)
Pm  0.0000  0.5000  0.3362 (multiplicity 4)
Er  0.0000  0.0000  0.3004 (multiplicity 4)

Output
Fermi-level density of states	1.7464	states/eV per atom
DFT formation energy	0.119	eV/atom
final energy	-4.7051	eV/atom



VASP calculation (PBE) on a relaxed structure of GdHoAlTc.

a b c (Å): 7.0424 7.0424 7.0424
angles (deg): 90.00 90.00 90.00
Space group F-43m (No. 216)
Unique sites:
Gd  0.0000  0.0000  0.0000 (multiplicity 4)
Ho  0.0000  0.0000  0.5000 (multiplicity 4)
Al  0.2500  0.2500  0.7500 (multiplicity 4)
Tc  0.2500  0.2500  0.2500 (multiplicity 4)

Output
Fermi-level density of states	0.9711	states/eV per atom
DFT formation energy	-0.140	eV/atom
final energy	-8.3319	eV/atom



Number 1: M_tot 0.00 μB/f.u.. Number 2: M_tot 0.00 μB/f.u.. Number 3: M_tot 0.00 μB/f.u.. Number 4: M_tot 3.03 μB/f.u.. Number 5: M_tot 0.00 μB/f.u.. Number 6: M_tot 0.00 μB/f.u.. Number 7: M_tot 0.00 μB/f.u.. Number 8: M_tot 1.06 μB/f.u.. Number 9: M_tot 2.46 μB/f.u.. Number 10: M_tot 0.76 μB/f.u.. Number 11: M_tot 7.26 μB/f.u.. Number 12: M_tot 0.00 μB/f.u.. Number 13: M_tot 0.00 μB/f.u.. Number 14: M_tot 2.96 μB/f.u.. Number 15: M_tot 4.41 μB/f.u.. Number 16: M_tot 0.00 μB/f.u.. Number 17: M_tot 0.00 μB/f.u.. Number 18: M_tot 9.41 μB/f.u.. Number 19: M_tot 0.00 μB/f.u.. Number 20: M_tot 0.00 μB/f.u.. Number 21: M_tot 0.00 μB/f.u.. Number 22: M_tot 1.19 μB/f.u.. Number 23: M_tot 7.03 μB/f.u..